# NpCoPdO6, relaxed, DFT PBE with a Hubbard U
# * calculated volume: 206.0 Å³/cell
# * total magnetization: 0.224 μB per atom
# * calculated total energy: -7.310 eV per atom
data_NpCoPdO6
_chemical_formula_sum 'Np2 Co2 Pd2 O12'
_space_group_name_H-M_alt 'P -3 1 c'
_space_group_IT_number 163
_space_group_name_Hall '-P 3 2c'
_cell_length_a 5.1653
_cell_length_b 5.1653
_cell_length_c 8.9157
_cell_angle_alpha 90.00
_cell_angle_beta 90.00
_cell_angle_gamma 120.00
loop_
_atom_site_label
_atom_site_type_symbol
_atom_site_fract_x
_atom_site_fract_y
_atom_site_fract_z
_atom_site_occupancy
Np1 Np 0.3333 0.6667 0.2500 1
Co1 Co 0.0000 0.0000 0.0000 1
Pd1 Pd 0.3333 0.6667 0.7500 1
O1 O 0.0024 0.3238 0.1226 1